one:
Below is a relaxed TeHW3 crystal, with properties calculated at the PBE level.

Results
* DOS(E_F): 9.07 states/eV/f.u.
* magnetic moment: 0.00 μB/f.u.

Cell lengths 4.9163, 4.9163, 4.9163 Å; angles 90.00, 90.00, 90.00 degrees
Last column: nearest neighbours and their distance in Å.
Fractional coordinates of all 5 atoms:
1 W 0.0000 0.5000 0.0000  2 Te 2.46
2 H 0.5000 0.5000 0.5000  12 W 3.48
3 Te 0.0000 0.0000 0.0000  6 W 2.46
4 W 0.5000 0.0000 0.0000  2 Te 2.46
5 W 0.0000 0.0000 0.5000  2 Te 2.46

***

two:
Below is a relaxed TeHW3 crystal, with properties calculated at the PBE level.

Results
* DOS(E_F): 4.83 states/eV/f.u.
* magnetic moment: 0.00 μB/f.u.

Cell lengths 4.1491, 4.1491, 4.1491 Å; angles 90.00, 90.00, 90.00 degrees
Last column: nearest neighbours and their distance in Å.
Fractional coordinates of all 5 atoms:
1 W 0.0000 0.5000 0.0000  2 H 2.07
2 W 0.5000 0.0000 0.0000  2 H 2.07
3 H 0.0000 0.0000 0.0000  6 W 2.07
4 W 0.0000 0.0000 0.5000  2 H 2.07
5 Te 0.5000 0.5000 0.5000  12 W 2.93

***

two is the most stable structure; the next one sits 2445 meV per atom above it.

***

one:
Below is a relaxed TeH3W crystal, with properties calculated at the PBE level.

Results
* DOS(E_F): 2.00 states/eV/f.u.
* magnetic moment: 0.45 μB/f.u.

Cell lengths 3.7324, 3.7324, 3.7324 Å; angles 90.00, 90.00, 90.00 degrees
Last column: nearest neighbours and their distance in Å.
Fractional coordinates of all 5 atoms:
1 Te 0.5000 0.5000 0.5000  12 H 2.64
2 H 0.0000 0.0000 0.5000  2 W 1.87
3 H 0.0000 0.5000 0.0000  2 W 1.87
4 W 0.0000 0.0000 0.0000  6 H 1.87
5 H 0.5000 0.0000 0.0000  2 W 1.87

***

two:
Below is a relaxed TeH3W crystal, with properties calculated at the PBE level.

Results
* DOS(E_F): 3.09 states/eV/f.u.
* magnetic moment: 0.00 μB/f.u.

Cell lengths 3.8012, 3.8012, 3.8012 Å; angles 90.00, 90.00, 90.00 degrees
Last column: nearest neighbours and their distance in Å.
Fractional coordinates of all 5 atoms:
1 Te 0.0000 0.0000 0.0000  6 H 1.90
2 H 0.0000 0.0000 0.5000  2 Te 1.90
3 H 0.0000 0.5000 0.0000  2 Te 1.90
4 H 0.5000 0.0000 0.0000  2 Te 1.90
5 W 0.5000 0.5000 0.5000  12 H 2.69

***

one is the most stable structure; the next one sits 1084 meV per atom above it.

***

one:
Below is a relaxed Te2HW crystal, with properties calculated at the PBE level.

Results
* DOS(E_F): 4.08 states/eV/f.u.
* magnetic moment: 0.00 μB/f.u.

Cell lengths 9.1795, 9.1795, 9.1795 Å; angles 19.36, 19.36, 19.36 degrees
Last column: nearest neighbours and their distance in Å.
Fractional coordinates of all 4 atoms:
1 Te 0.1025 0.1025 0.1025  3 H 2.49, 1 W 2.77
2 Te 0.8975 0.8975 0.8975  3 H 2.49, 1 W 2.77
3 H 0.5000 0.5000 0.5000  6 Te 2.49
4 W 0.0000 0.0000 0.0000  2 Te 2.77, 6 W 3.09

***

two:
Below is a relaxed Te2HW crystal, with properties calculated at the PBE level.

Results
* DOS(E_F): 3.75 states/eV/f.u.
* magnetic moment: 0.00 μB/f.u.

Cell lengths 7.7104, 7.7104, 7.7104 Å; angles 28.44, 28.44, 28.44 degrees
Last column: nearest neighbours and their distance in Å.
Fractional coordinates of all 4 atoms:
1 H 0.0000 0.0000 0.0000  2 Te 2.03
2 W 0.5000 0.5000 0.5000  6 Te 2.75
3 Te 0.9086 0.9086 0.9086  1 H 2.03
4 Te 0.0914 0.0914 0.0914  1 H 2.03

***

two is the most stable structure; the next one sits 660 meV per atom above it.

***

one:
Below is a relaxed Te3HW crystal, with properties calculated at the PBE level.

Results
* DOS(E_F): 3.98 states/eV/f.u.
* magnetic moment: 0.93 μB/f.u.

Cell lengths 5.3484, 5.3484, 5.3484 Å; angles 90.00, 90.00, 90.00 degrees
Last column: nearest neighbours and their distance in Å.
Fractional coordinates of all 5 atoms:
1 W 0.0000 0.0000 0.0000  6 Te 2.67
2 Te 0.5000 0.0000 0.0000  2 W 2.67
3 Te 0.0000 0.0000 0.5000  2 W 2.67
4 Te 0.0000 0.5000 0.0000  2 W 2.67
5 H 0.5000 0.5000 0.5000  12 Te 3.78

***

two:
Below is a relaxed Te3HW crystal, with properties calculated at the PBE level.

Results
* DOS(E_F): 4.06 states/eV/f.u.
* magnetic moment: 2.02 μB/f.u.

Cell lengths 4.6294, 4.6294, 4.6294 Å; angles 90.00, 90.00, 90.00 degrees
Last column: nearest neighbours and their distance in Å.
Fractional coordinates of all 5 atoms:
1 H 0.0000 0.0000 0.0000  6 Te 2.31
2 Te 0.5000 0.0000 0.0000  2 H 2.31
3 Te 0.0000 0.5000 0.0000  2 H 2.31
4 Te 0.0000 0.0000 0.5000  2 H 2.31
5 W 0.5000 0.5000 0.5000  12 Te 3.27

***

one is the most stable structure; the next one sits 352 meV per atom above it.

***

one:
Below is a relaxed Te2HW2 crystal, with properties calculated at the PBE level.

Results
* DOS(E_F): 4.42 states/eV/f.u.
* magnetic moment: 0.00 μB/f.u.

Cell lengths 5.4335, 5.4335, 5.1652 Å; angles 58.27, 58.27, 90.00 degrees
Last column: nearest neighbours and their distance in Å.
Fractional coordinates of all 5 atoms:
1 Te 0.7500 0.2500 0.5000  4 W 2.78
2 Te 0.2500 0.7500 0.5000  4 W 2.78
3 H 0.0000 0.0000 0.0000  2 W 2.29
4 W 0.6678 0.6678 0.6643  1 H 2.29, 1 W 2.32
5 W 0.3322 0.3322 0.3357  1 H 2.29, 1 W 2.32

***

two:
Below is a relaxed Te2HW2 crystal, with properties calculated at the PBE level.

Results
* DOS(E_F): 3.62 states/eV/f.u.
* magnetic moment: 0.00 μB/f.u.

Cell lengths 6.3031, 6.3031, 4.3680 Å; angles 90.00, 90.00, 90.00 degrees
Last column: nearest neighbours and their distance in Å.
Fractional coordinates of all 10 atoms:
1 W 0.8434 0.6566 0.0000  2 H 2.38
2 W 0.6566 0.1566 0.0000  2 H 2.38
3 W 0.3434 0.8434 0.0000  2 H 2.38
4 H 0.5000 0.5000 0.0000  4 W 2.38
5 Te 0.8308 0.3308 0.5000  6 W 2.68-3.00
6 Te 0.3308 0.1692 0.5000  6 W 2.68-3.00
7 W 0.1566 0.3434 0.0000  2 H 2.38
8 H 0.0000 0.0000 0.0000  4 W 2.38
9 Te 0.6692 0.8308 0.5000  6 W 2.68-3.00
10 Te 0.1692 0.6692 0.5000  6 W 2.68-3.00

***

one is the most stable structure; the next one sits 116 meV per atom above it.

***

one:
Below is a relaxed YTe2H crystal, with properties calculated at the PBE level.

Results
* DOS(E_F): 1.14 states/eV/f.u.
* magnetic moment: 0.00 μB/f.u.

Cell lengths 7.0555, 7.0555, 6.2592 Å; angles 55.69, 55.69, 90.00 degrees
Last column: nearest neighbours and their distance in Å.
Fractional coordinates of all 8 atoms:
1 Te 0.2026 0.6250 0.2500  2 H 2.34
2 Te 0.8750 0.7974 0.7500  2 H 2.34
3 H 0.5000 0.5000 0.0000  4 Te 2.34
4 Y 0.7500 0.2500 0.5000  4 Te 3.06
5 Te 0.5474 0.1250 0.2500  2 H 2.34
6 Y 0.0000 0.0000 0.0000  4 Te 3.06
7 Te 0.3750 0.4526 0.7500  2 H 2.34
8 H 0.2500 0.7500 0.5000  4 Te 2.34

***

two:
Below is a relaxed YTe2H crystal, with properties calculated at the PBE level.

Results
* DOS(E_F): 1.99 states/eV/f.u.
* magnetic moment: 0.00 μB/f.u.

Cell lengths 5.9097, 5.9097, 7.7719 Å; angles 67.65, 67.65, 90.00 degrees
Last column: nearest neighbours and their distance in Å.
Fractional coordinates of all 8 atoms:
1 Te 0.9898 0.4898 0.0204  2 H 2.96, 3 Y 2.96-3.14
2 Te 0.5102 0.0102 0.9796  2 H 2.96, 3 Y 2.96-3.14
3 Te 0.7602 0.7602 0.4796  3 Y 2.96-3.14, 2 H 2.96
4 H 0.5000 0.5000 0.0000  4 Te 2.96
5 H 0.2500 0.7500 0.5000  4 Te 2.96
6 Y 0.0000 0.0000 0.0000  6 Te 2.96-3.14
7 Te 0.2398 0.2398 0.5204  2 H 2.96, 3 Y 2.96-3.14
8 Y 0.7500 0.2500 0.5000  6 Te 2.96-3.14

***

three:
Below is a relaxed YTe2H crystal, with properties calculated at the PBE level.

Results
* DOS(E_F): 0.00 states/eV/f.u.
* magnetic moment: 0.00 μB/f.u.

Cell lengths 7.9910, 9.3320, 4.3715 Å; angles 88.43, 98.91, 120.73 degrees
Last column: nearest neighbours and their distance in Å.
Fractional coordinates of all 8 atoms:
1 Y 0.5919 0.9854 0.6499  6 Te 3.00-3.21
2 Te 0.4888 0.1803 0.1100  1 Te 2.81
3 H 0.8945 0.5097 0.3890  1 H 0.76
4 Te 0.6475 0.7892 0.1822  3 Y 3.00-3.04, 1 H 3.27
5 Te 0.0128 0.2678 0.7550  3 Y 3.00-3.04, 1 H 3.17
6 H 0.8479 0.5588 0.3195  1 H 0.76
7 Te 0.1708 0.8765 0.8232  1 Te 2.81
8 Y 0.0683 0.0719 0.2863  6 Te 3.00-3.21

***

four:
Below is a relaxed YTe2H crystal, with properties calculated at the PBE level.

Results
* DOS(E_F): 0.00 states/eV/f.u.
* magnetic moment: 0.00 μB/f.u.

Cell lengths 7.7154, 4.2172, 13.3809 Å; angles 90.00, 90.00, 90.00 degrees
Last column: nearest neighbours and their distance in Å.
Fractional coordinates of all 16 atoms:
1 Y 0.6332 0.7500 0.6219  5 Te 3.02-3.31
2 Te 0.2277 0.2500 0.0300  3 Y 3.02-3.04, 3 H 3.03-3.38
3 Y 0.8668 0.2500 0.1219  5 Te 3.02-3.31
4 Te 0.7723 0.7500 0.9700  3 Y 3.02-3.04, 3 H 3.03-3.38
5 Te 0.7277 0.2500 0.4700  3 Y 3.02-3.04, 3 H 3.03-3.38
6 H 0.4415 0.7500 0.1355  1 Te 1.69
7 Y 0.1332 0.7500 0.8781  5 Te 3.02-3.31
8 H 0.9415 0.7500 0.3645  1 Te 1.69
9 Te 0.2723 0.7500 0.5300  3 Y 3.02-3.04, 3 H 3.03-3.38
10 Te 0.4189 0.2500 0.7668  1 H 1.69
11 Te 0.9189 0.2500 0.7332  1 H 1.69
12 H 0.5585 0.2500 0.8645  1 Te 1.69
13 Te 0.5811 0.7500 0.2332  1 H 1.69
14 Y 0.3668 0.2500 0.3781  5 Te 3.02-3.31
15 H 0.0585 0.2500 0.6355  1 Te 1.69
16 Te 0.0811 0.7500 0.2668  1 H 1.69

***

three is the most stable structure; the next one sits 72 meV per atom above it.

***

one:
Below is a relaxed YTeH3 crystal, with properties calculated at the PBE level.

Results
* DOS(E_F): 1.98 states/eV/f.u.
* magnetic moment: 0.00 μB/f.u.

Cell lengths 4.1476, 4.1476, 4.1476 Å; angles 90.00, 90.00, 90.00 degrees
Last column: nearest neighbours and their distance in Å.
Fractional coordinates of all 5 atoms:
1 H 0.0000 0.0000 0.5000  2 Te 2.07
2 H 0.0000 0.5000 0.0000  2 Te 2.07
3 Y 0.5000 0.5000 0.5000  12 H 2.93
4 H 0.5000 0.0000 0.0000  2 Te 2.07
5 Te 0.0000 0.0000 0.0000  6 H 2.07

***

two:
Below is a relaxed YTeH3 crystal, with properties calculated at the PBE level.

Results
* DOS(E_F): 1.57 states/eV/f.u.
* magnetic moment: 0.00 μB/f.u.

Cell lengths 4.1204, 4.1204, 4.1204 Å; angles 90.00, 90.00, 90.00 degrees
Last column: nearest neighbours and their distance in Å.
Fractional coordinates of all 5 atoms:
1 H 0.0000 0.5000 0.0000  2 Y 2.06
2 H 0.0000 0.0000 0.5000  2 Y 2.06
3 Y 0.0000 0.0000 0.0000  6 H 2.06
4 Te 0.5000 0.5000 0.5000  12 H 2.91
5 H 0.5000 0.0000 0.0000  2 Y 2.06

***

two is the most stable structure; the next one sits 585 meV per atom above it.

***

one:
Below is a relaxed ZnTeH3 crystal, with properties calculated at the PBE level.

Results
* DOS(E_F): 0.82 states/eV/f.u.
* magnetic moment: 0.00 μB/f.u.

Cell lengths 4.1216, 4.1216, 4.1216 Å; angles 90.00, 90.00, 90.00 degrees
Last column: nearest neighbours and their distance in Å.
Fractional coordinates of all 5 atoms:
1 H 0.0000 0.0000 0.5000  2 Te 2.06
2 H 0.5000 0.0000 0.0000  2 Te 2.06
3 Zn 0.5000 0.5000 0.5000  12 H 2.91
4 Te 0.0000 0.0000 0.0000  6 H 2.06
5 H 0.0000 0.5000 0.0000  2 Te 2.06

***

two:
Below is a relaxed ZnTeH3 crystal, with properties calculated at the PBE level.

Results
* DOS(E_F): 2.00 states/eV/f.u.
* magnetic moment: 0.00 μB/f.u.

Cell lengths 3.7941, 3.7941, 3.7941 Å; angles 90.00, 90.00, 90.00 degrees
Last column: nearest neighbours and their distance in Å.
Fractional coordinates of all 5 atoms:
1 Te 0.5000 0.5000 0.5000  12 H 2.68
2 Zn 0.0000 0.0000 0.0000  6 H 1.90
3 H 0.0000 0.0000 0.5000  2 Zn 1.90
4 H 0.5000 0.0000 0.0000  2 Zn 1.90
5 H 0.0000 0.5000 0.0000  2 Zn 1.90

***

one is the most stable structure; the next one sits 119 meV per atom above it.